1.
DFT (PBE) results for a relaxed TaAlCrCdAu crystal.

## Properties
ΔE_f: 0.2 eV per formula unit
Uncorrected energy: -5.84 eV per atom
Fermi-level density of states: 2.15 states/eV per cell
Crystal system: monoclinic

Lattice parameters (Å, degrees): 7.1787 7.1787 2.8725 99.50 99.50 35.20
With the nearest neighbours (Å) after each atom.
Atoms (fractional coordinates):
1 Ta 0.0000 0.0000 0.0000  2 Cr 2.58, 4 Al 2.77-2.89, 2 Ta 2.87, 1 Cd 2.89
2 Al 0.5815 0.5815 0.5248  1 Cr 2.51, 2 Au 2.66, 2 Ta 2.77
3 Cr 0.4081 0.4081 0.6966  1 Al 2.51, 2 Ta 2.58
4 Cd 0.8002 0.8002 0.1963  4 Cr 2.87-3.11, 2 Cd 2.87, 1 Ta 2.89, 4 Au 2.93-2.99
5 Au 0.1953 0.1953 0.6310  2 Al 2.66, 2 Au 2.87, 1 Cr 2.88, 2 Cd 2.93, 1 Ta 2.96

=====

2.
DFT (PBE) results for a relaxed TaAlCrCdAu crystal.

## Properties
ΔE_f: 0.2 eV per formula unit
Uncorrected energy: -5.84 eV per atom
Fermi-level density of states: 3.60 states/eV per cell
Crystal system: monoclinic

Lattice parameters (Å, degrees): 2.8925 2.8925 11.2446 99.93 99.93 67.24
With the nearest neighbours (Å) after each atom.
Atoms (fractional coordinates):
1 Ta 0.0000 0.0000 0.0000  2 Cr 2.50
2 Al 0.2943 0.2943 0.3520  3 Cr 2.59-2.68, 3 Au 2.71, 4 Al 2.89
3 Cr 0.5902 0.5902 0.1748  2 Ta 2.50, 3 Al 2.59-2.68
4 Cd 0.4689 0.4689 0.7683  6 Cd 2.89-3.20, 3 Au 3.02-3.11, 2 Ta 3.03
5 Au 0.7452 0.7452 0.5414  3 Al 2.71, 4 Au 2.89, 2 Cd 3.02

=====

3.
DFT (PBE) results for a relaxed TaAlCrCdAu crystal.

## Properties
ΔE_f: 0.6 eV per formula unit
Uncorrected energy: -5.77 eV per atom
Fermi-level density of states: 3.21 states/eV per cell
Crystal system: triclinic

Lattice parameters (Å, degrees): 2.9928 4.7393 6.4723 93.34 103.26 108.15
With the nearest neighbours (Å) after each atom.
Atoms (fractional coordinates):
1 Ta 0.0000 0.0000 0.0000  3 Cr 2.54-2.84, 2 Al 2.76, 1 Cd 2.83
2 Al 0.7930 0.2425 0.3503  3 Cr 2.70-2.88, 3 Au 2.74-2.75, 2 Ta 2.76, 2 Al 2.99, 2 Cd 3.00-3.01
3 Cr 0.3871 0.6246 0.1534  3 Ta 2.54-2.84, 2 Al 2.70-2.71
4 Cd 0.5886 0.4180 0.7627  3 Ta 2.83-2.97, 3 Au 2.83-2.94, 2 Cr 2.91-2.92, 2 Cd 2.99, 2 Al 3.00-3.01
5 Au 0.1771 0.8327 0.5307  3 Al 2.74-2.75, 3 Cd 2.83-2.94, 2 Cr 2.85, 2 Au 2.99

=====

4.
DFT (PBE) results for a relaxed TaAlCrCdAu crystal.

## Properties
ΔE_f: 1.2 eV per formula unit
Uncorrected energy: -5.65 eV per atom
Fermi-level density of states: 3.70 states/eV per cell
Crystal system: monoclinic

Lattice parameters (Å, degrees): 5.8608 5.8608 5.9215 110.74 110.74 28.91
With the nearest neighbours (Å) after each atom.
Atoms (fractional coordinates):
1 Ta 0.0000 0.0000 0.0000  2 Cr 2.42
2 Al 0.6728 0.6728 0.4072  2 Cr 2.62, 2 Au 2.79, 2 Ta 2.89, 2 Al 2.93
3 Cr 0.3590 0.3590 0.6962  2 Ta 2.42, 2 Al 2.62, 2 Au 2.69
4 Cd 0.7226 0.7226 0.9442  2 Cr 2.89, 2 Cd 2.93, 2 Al 2.99-3.02, 3 Ta 3.04
5 Au 0.9752 0.9752 0.4584  2 Cr 2.69, 2 Al 2.79, 1 Ta 2.83, 2 Au 2.93

=====

5.
DFT (PBE) results for a relaxed TaAlCrCdAu crystal.

## Properties
ΔE_f: 1.1 eV per formula unit
Uncorrected energy: -5.66 eV per atom
Fermi-level density of states: 3.00 states/eV per cell
Crystal system: orthorhombic

Lattice parameters (Å, degrees): 3.0865 6.4441 6.4441 44.35 90.00 90.00
With the nearest neighbours (Å) after each atom.
Atoms (fractional coordinates):
1 Ta 0.0000 0.0000 0.0000  2 Cr 2.43
2 Al 0.0000 0.3413 0.3413  2 Au 2.61, 2 Cr 2.69, 2 Cd 2.81
3 Cr 0.5000 0.1567 0.1567  2 Ta 2.43, 2 Al 2.69
4 Cd 0.0000 0.7240 0.7240  2 Al 2.81, 2 Au 2.91, 4 Cr 2.99, 2 Cd 3.09
5 Au 0.5000 0.5175 0.5175  2 Al 2.61, 4 Ta 2.89, 2 Cd 2.91

=====

6.
DFT (PBE) results for a relaxed AlCdCuAu crystal.

## Properties
ΔE_f: -0.3 eV per formula unit
Uncorrected energy: -3.09 eV per atom
Fermi-level density of states: 2.33 states/eV per cell
Crystal system: cubic

Lattice parameters (Å, degrees): 4.5489 4.5489 4.5489 60.00 60.00 60.00
With the nearest neighbours (Å) after each atom.
Atoms (fractional coordinates):
1 Al 0.0000 0.0000 0.0000  4 Cu 2.79, 4 Au 2.79
2 Cd 0.5000 0.5000 0.5000  4 Cu 2.79, 4 Au 2.79
3 Cu 0.2500 0.2500 0.2500  4 Cd 2.79, 4 Al 2.79
4 Au 0.7500 0.7500 0.7500  4 Cd 2.79, 4 Al 2.79

=====

7.
DFT (PBE) results for a relaxed DyAlCdAu crystal.

## Properties
ΔE_f: -1.8 eV per formula unit
Uncorrected energy: -3.59 eV per atom
Fermi-level density of states: 1.96 states/eV per cell
Crystal system: cubic

Lattice parameters (Å, degrees): 4.8942 4.8942 4.8942 60.00 60.00 60.00
With the nearest neighbours (Å) after each atom.
Atoms (fractional coordinates):
1 Dy 0.0000 0.0000 0.0000  4 Au 3.00, 4 Cd 3.00
2 Al 0.5000 0.5000 0.5000  4 Au 3.00, 4 Cd 3.00
3 Cd 0.2500 0.2500 0.2500  4 Al 3.00, 4 Dy 3.00
4 Au 0.7500 0.7500 0.7500  4 Dy 3.00, 4 Al 3.00

=====

8.
DFT (PBE) results for a relaxed ErAlCdAu crystal.

## Properties
ΔE_f: -1.8 eV per formula unit
Uncorrected energy: -3.57 eV per atom
Fermi-level density of states: 2.11 states/eV per cell
Crystal system: cubic

Lattice parameters (Å, degrees): 4.8682 4.8682 4.8682 60.00 60.00 60.00
With the nearest neighbours (Å) after each atom.
Atoms (fractional coordinates):
1 Er 0.0000 0.0000 0.0000  4 Cd 2.98, 4 Au 2.98
2 Al 0.5000 0.5000 0.5000  4 Cd 2.98, 4 Au 2.98
3 Cd 0.7500 0.7500 0.7500  4 Er 2.98, 4 Al 2.98
4 Au 0.2500 0.2500 0.2500  4 Er 2.98, 4 Al 2.98

=====

9.
DFT (PBE) results for a relaxed ErAl2CdAu4 crystal.

## Properties
ΔE_f: -3.8 eV per formula unit
Uncorrected energy: -3.73 eV per atom
Fermi-level density of states: 4.39 states/eV per cell
Crystal system: trigonal

Lattice parameters (Å, degrees): 9.7066 9.7066 9.7066 26.31 26.31 26.31
With the nearest neighbours (Å) after each atom.
Atoms (fractional coordinates):
1 Er 0.0000 0.0000 0.0000  8 Au 3.02-3.24
2 Al 0.2497 0.2497 0.2497  6 Au 2.65-2.70
3 Al 0.7503 0.7503 0.7503  6 Au 2.65-2.70
4 Cd 0.5000 0.5000 0.5000  8 Au 2.93-3.07
5 Au 0.1152 0.1152 0.1152  3 Al 2.70, 3 Cd 2.93, 3 Au 3.02
6 Au 0.3908 0.3908 0.3908  3 Al 2.65
7 Au 0.6092 0.6092 0.6092  3 Al 2.65
8 Au 0.8848 0.8848 0.8848  3 Al 2.70, 3 Cd 2.93, 3 Au 3.02

=====

10.
DFT (PBE) results for a relaxed Er2AlCdAu4 crystal.

## Properties
ΔE_f: -5.6 eV per formula unit
Uncorrected energy: -4.06 eV per atom
Fermi-level density of states: 3.63 states/eV per cell
Crystal system: trigonal

Lattice parameters (Å, degrees): 8.3420 8.3420 8.3420 33.98 33.98 33.98
With the nearest neighbours (Å) after each atom.
Atoms (fractional coordinates):
1 Er 0.2480 0.2480 0.2480  8 Au 2.91-3.09
2 Er 0.7520 0.7520 0.7520  8 Au 2.91-3.09
3 Al 0.0000 0.0000 0.0000  8 Au 2.75-2.95
4 Cd 0.5000 0.5000 0.5000  8 Au 3.03-3.05
5 Au 0.1169 0.1169 0.1169  1 Al 2.75, 3 Er 2.91, 3 Cd 3.05
6 Au 0.3713 0.3713 0.3713  4 Er 2.91-3.03, 3 Al 2.95, 1 Cd 3.03
7 Au 0.6287 0.6287 0.6287  4 Er 2.91-3.03, 3 Al 2.95, 1 Cd 3.03
8 Au 0.8831 0.8831 0.8831  1 Al 2.75, 3 Er 2.91, 3 Cd 3.05

=====

11.
DFT (PBE) results for a relaxed Er2Al3CdAu4 crystal.

## Properties
ΔE_f: -5.9 eV per formula unit
Uncorrected energy: -4.02 eV per atom
Fermi-level density of states: 5.05 states/eV per cell
Crystal system: tetragonal

Lattice parameters (Å, degrees): 4.2738 4.2738 11.2013 90.00 90.00 90.00
With the nearest neighbours (Å) after each atom.
Atoms (fractional coordinates):
1 Er 0.0000 0.5000 0.2401  8 Au 3.24-3.44, 6 Al 3.28-3.61, 2 Cd 3.61
2 Er 0.5000 0.0000 0.7599  8 Au 3.24-3.44, 6 Al 3.28-3.61, 2 Cd 3.61
3 Al 0.0000 0.5000 0.8734  5 Au 2.44-2.56
4 Al 0.5000 0.0000 0.1266  5 Au 2.44-2.56
5 Al 0.5000 0.5000 0.5000  4 Au 2.75, 4 Cd 3.02
6 Cd 0.0000 0.0000 0.5000  4 Au 2.75, 4 Al 3.02
7 Au 0.0000 0.0000 0.0000  4 Al 2.56
8 Au 0.0000 0.5000 0.6552  1 Al 2.44
9 Au 0.5000 0.0000 0.3448  1 Al 2.44
10 Au 0.5000 0.5000 0.0000  4 Al 2.56

=====

12.
DFT (PBE) results for a relaxed AlCd2GaAu6 crystal.

## Properties
ΔE_f: -1.7 eV per formula unit
Uncorrected energy: -3.00 eV per atom
Fermi-level density of states: 2.85 states/eV per cell
Crystal system: triclinic

Lattice parameters (Å, degrees): 4.7734 6.8873 6.9070 67.88 70.44 70.41
With the nearest neighbours (Å) after each atom.
Atoms (fractional coordinates):
1 Al 0.0000 0.0000 0.0000  8 Au 2.64-2.81
2 Cd 0.2112 0.4517 0.1278  2 Cd 2.87, 6 Au 2.87-3.02
3 Cd 0.7888 0.5483 0.8722  2 Cd 2.87, 6 Au 2.87-3.02
4 Ga 0.5000 0.5000 0.5000  6 Au 2.63-2.83
5 Au 0.0746 0.2671 0.5983  1 Al 2.67, 2 Ga 2.76-2.83, 4 Au 2.88-2.97, 2 Cd 2.91-2.94
6 Au 0.2524 0.7887 0.7100  1 Ga 2.63, 1 Al 2.64, 3 Cd 2.87-2.94
7 Au 0.3979 0.9669 0.2256  2 Al 2.74-2.81, 6 Au 2.84-3.02, 1 Cd 3.02, 1 Ga 3.02
8 Au 0.6021 0.0331 0.7744  2 Al 2.74-2.81, 6 Au 2.84-3.02, 1 Cd 3.02, 1 Ga 3.02
9 Au 0.7476 0.2113 0.2900  1 Ga 2.63, 1 Al 2.64, 3 Cd 2.87-2.94
10 Au 0.9254 0.7329 0.4017  1 Al 2.67, 2 Ga 2.76-2.83, 4 Au 2.88-2.97, 2 Cd 2.91-2.94

=====

13.
DFT (PBE) results for a relaxed GdAlCdAu crystal.

## Properties
ΔE_f: -1.8 eV per formula unit
Uncorrected energy: -5.95 eV per atom
Fermi-level density of states: 2.15 states/eV per cell
Crystal system: cubic

Lattice parameters (Å, degrees): 4.9350 4.9350 4.9350 60.00 60.00 60.00
With the nearest neighbours (Å) after each atom.
Atoms (fractional coordinates):
1 Gd 0.0000 0.0000 0.0000  4 Cd 3.02, 4 Au 3.02
2 Al 0.5000 0.5000 0.5000  4 Cd 3.02, 4 Au 3.02
3 Cd 0.7500 0.7500 0.7500  4 Al 3.02, 4 Gd 3.02
4 Au 0.2500 0.2500 0.2500  4 Al 3.02, 4 Gd 3.02